Density functional theory data (GGA-PBE) for an optimized crystal structure of ZrAg2Cl.

Cell lengths 4.889, 4.889, 4.889 Å; angles 60.00, 60.00, 60.00 degrees
Atoms (fractional coordinates):
Zr  0.500  0.500  0.500
Ag  0.250  0.250  0.250
Ag  0.750  0.750  0.750
Cl  0.000  0.000  0.000

Calculated values
* magnetization: 0.00 μB per cell
* E_tot: -3.687 eV per atom
* ΔE to the lowest computed polymorph: 739 meV per atom
* density of states at the Fermi level: 3.49 states/eV per cell